(1)
PBE-GGA Zn3CrRu, relaxed; calculated total energy = -3.08 eV/atom
1.0
4.4852 0.0000 0.0000
0.0000 4.4852 0.0000
0.0000 0.0000 4.4852
Zn Cr Ru
3 1 1
direct
0.0000 0.0000 0.5000
0.0000 0.5000 0.0000
0.5000 0.0000 0.0000
0.0000 0.0000 0.0000
0.5000 0.5000 0.5000

***

(2)
PBE-GGA BAsH3, relaxed; E above lowest polymorph = 0 meV per atom
1.0
3.8213 0.0000 0.0000
0.0000 4.9451 0.0000
-1.8127 0.0000 6.0273
B As H
2 2 6
direct
0.1621 0.2500 0.2849
0.8379 0.7500 0.7151
0.4593 0.7500 0.9159
0.5407 0.2500 0.0841
0.0703 0.0259 0.2038
0.0703 0.4741 0.2038
0.2570 0.2500 0.4836
0.7430 0.7500 0.5164
0.9297 0.5259 0.7962
0.9297 0.9741 0.7962

***

(3)
PBE-GGA La2Tb3CeHo6, relaxed; calculated total energy = -4.72 eV/atom
1.0
3.0956 -5.3633 0.0000
3.0956 5.3633 0.0000
-2.0641 0.0000 11.5935
La Tb Ce Ho
2 3 1 6
direct
0.1666 0.8334 0.0000
0.8334 0.1666 0.0000
0.0000 0.0000 0.5000
0.3331 0.6669 0.5000
0.6669 0.3331 0.5000
0.5000 0.5000 0.0000
0.0854 0.4157 0.7473
0.2541 0.2541 0.2528
0.4157 0.0854 0.7473
0.5843 0.9146 0.2527
0.7459 0.7459 0.7472
0.9146 0.5843 0.2527